Record 1
## HoTm2PaN4 (PBE)

Data for crystalline HoTm2PaN4 at its relaxed geometry.

Computed properties:
V ... 115.0 Å³ per cell
Density ... 11.41 g cm⁻³
SG ... P2/m (10)
Uncorrected formation energy ... -1.753 eV/atom
Raw total energy ... -70.3 eV/cell

Geometry as extended XYZ:
```
8
Lattice="5.937 0.000 0.000 0.000 3.451 0.000 -1.951 0.000 5.613" Properties=species:S:1:pos:R:3 pbc="T T T"
Ho 0.000 0.000 0.000
Tm 1.993 0.000 2.807
Tm 2.969 1.725 0.000
Pa -0.975 1.725 2.807
N 0.956 1.725 1.455
N 0.025 0.000 4.189
N 3.961 0.000 1.424
N 3.031 1.725 4.158
```


Record 2
## Ho2UPaN6 (PBE)

Data for crystalline Ho2UPaN6 at its relaxed geometry.

Computed properties:
V ... 148.2 Å³ per cell
Density ... 9.90 g cm⁻³
SG ... R3 (146)
Uncorrected formation energy ... -1.389 eV/atom
Raw total energy ... -93.8 eV/cell

Geometry as extended XYZ:
```
10
Lattice="2.944 1.700 4.936 -2.944 1.700 4.936 0.000 -3.399 4.936" Properties=species:S:1:pos:R:3 pbc="T T T"
Ho 0.000 0.000 0.000
Ho 0.000 0.000 7.376
U 0.000 0.000 10.655
Pa 0.000 0.000 3.301
N -1.033 -2.007 6.738
N -1.660 0.141 9.247
N -1.222 1.898 6.738
N 0.708 -1.508 9.247
N 2.255 0.109 6.738
N 0.952 1.367 9.247
```


Record 3
## HoUPa2N4 (PBE)

Data for crystalline HoUPa2N4 at its relaxed geometry.

Computed properties:
V ... 118.0 Å³ per cell
Density ... 12.97 g cm⁻³
SG ... P2/m (10)
Uncorrected formation energy ... -1.564 eV/atom
Raw total energy ... -80.7 eV/cell

Geometry as extended XYZ:
```
8
Lattice="5.996 0.000 0.000 0.000 3.466 0.000 -1.989 0.000 5.676" Properties=species:S:1:pos:R:3 pbc="T T T"
Ho 0.000 0.000 0.000
U 2.998 1.733 0.000
Pa -0.994 1.733 2.838
Pa 2.004 0.000 2.838
N 0.010 0.000 4.297
N 1.030 1.733 1.401
N 2.978 1.733 4.275
N 3.997 0.000 1.379
```


Record 4
## HoPa2WN6 (PBE)

Data for crystalline HoPa2WN6 at its relaxed geometry.

Computed properties:
V ... 152.1 Å³ per cell
Density ... 9.77 g cm⁻³
SG ... P4mm (99)
Uncorrected formation energy ... -1.085 eV/atom
Raw total energy ... -97.3 eV/cell

Geometry as extended XYZ:
```
10
Lattice="5.363 0.000 0.000 0.000 5.363 0.000 0.000 0.000 5.286" Properties=species:S:1:pos:R:3 pbc="T T T"
Ho 0.000 0.000 0.000
Pa 0.000 2.682 2.270
Pa 2.682 0.000 2.270
W 2.682 2.682 0.208
N 0.000 0.000 3.088
N 1.405 1.405 1.047
N 1.405 3.959 1.047
N 2.682 2.682 3.629
N 3.959 1.405 1.047
N 3.959 3.959 1.047
```


Record 5
## HoPaW2N6 (PBE)

Data for crystalline HoPaW2N6 at its relaxed geometry.

Computed properties:
V ... 289.8 Å³ per cell
Density ... 9.72 g cm⁻³
SG ... C2/c (15)
Uncorrected formation energy ... -0.962 eV/atom
Raw total energy ... -199.1 eV/cell

Geometry as extended XYZ:
```
20
Lattice="5.332 -4.699 0.000 5.332 4.699 0.000 -1.751 0.000 5.783" Properties=species:S:1:pos:R:3 pbc="T T T"
Ho 4.018 3.882 4.337
Ho 4.894 -3.882 1.446
Pa 4.894 1.742 1.446
Pa 4.018 -1.742 4.337
W 1.873 0.909 4.256
W 2.748 -0.909 1.365
W 6.164 0.909 4.419
W 7.039 -0.909 1.527
N 3.514 3.606 2.029
N 2.475 2.422 5.139
N 6.274 3.606 0.862
N 3.035 0.326 2.818
N 5.561 2.422 3.536
N 2.160 -0.326 5.710
N 6.752 0.326 0.073
N 3.351 -2.422 2.247
N 5.877 -0.326 2.965
N 2.638 -3.606 4.921
N 6.437 -2.422 0.644
N 5.398 -3.606 3.754
```


Record 6
## Y3HoPa2N6 (PBE)

Data for crystalline Y3HoPa2N6 at its relaxed geometry.

Computed properties:
V ... 179.3 Å³ per cell
Density ... 9.06 g cm⁻³
SG ... C2/m (12)
Uncorrected formation energy ... -1.698 eV/atom
Raw total energy ... -113.3 eV/cell

Geometry as extended XYZ:
```
12
Lattice="3.017 -5.226 0.000 3.017 5.226 0.000 -2.007 0.000 5.686" Properties=species:S:1:pos:R:3 pbc="T T T"
Y 0.000 0.000 0.000
Y 3.017 1.730 0.000
Y 3.017 -1.730 0.000
Ho 2.013 0.000 2.843
Pa 2.013 3.484 2.843
Pa 2.013 -3.484 2.843
N 0.977 1.792 1.500
N -0.048 0.000 4.202
N 0.977 -1.792 1.500
N 3.050 1.792 4.186
N 4.075 0.000 1.483
N 3.050 -1.792 4.186
```


Record 7
## HoZr2PaN4 (PBE)

Data for crystalline HoZr2PaN4 at its relaxed geometry.

Computed properties:
V ... 107.9 Å³ per cell
Density ... 9.77 g cm⁻³
SG ... P2/m (10)
Uncorrected formation energy ... -1.708 eV/atom
Raw total energy ... -78.1 eV/cell

Geometry as extended XYZ:
```
8
Lattice="5.827 0.000 0.000 0.000 3.360 0.000 -1.932 0.000 5.509" Properties=species:S:1:pos:R:3 pbc="T T T"
Ho 0.000 0.000 0.000
Zr -0.966 1.680 2.755
Zr 1.947 0.000 2.755
Pa 2.913 1.680 0.000
N 0.014 0.000 4.075
N 1.005 1.680 1.431
N 2.889 1.680 4.078
N 3.881 0.000 1.434
```


Record 8
## Ho2PbN (PBE)

Data for crystalline Ho2PbN at its relaxed geometry.

Computed properties:
V ... 84.4 Å³ per cell
Density ... 10.84 g cm⁻³
SG ... R-3m (166)
Uncorrected formation energy ... -1.104 eV/atom
Raw total energy ... -25.6 eV/cell

Geometry as extended XYZ:
```
4
Lattice="1.771 1.022 7.776 -1.771 1.022 7.776 0.000 -2.044 7.776" Properties=species:S:1:pos:R:3 pbc="T T T"
Ho 0.000 0.000 5.182
Ho 0.000 0.000 18.145
Pb 0.000 0.000 0.000
N 0.000 0.000 11.663
```